Material: Ca2MnAl
Method: DFT, GGA-PBE
State: optimized geometry

Values from the calculation:
Calculated formation energy: 0.387 eV per atom
VASP energy: -3.842 eV/atom
N(E_F): 4.2 states/eV per cell

abc: 10.2003 10.2003 10.2003
angles: 19.99 19.99 19.99
Closest atoms and distances in Å follow each position.
Fractional coordinates of all 4 atoms:
Ca1 0.2504 0.2504 0.2504  3 Al 3.22, 3 Mn 3.24, 6 Ca 3.54
Ca2 0.7496 0.7496 0.7496  3 Al 3.22, 3 Mn 3.24, 6 Ca 3.54
Mn1 0.5000 0.5000 0.5000  6 Ca 3.24, 6 Mn 3.54
Al1 0.0000 0.0000 0.0000  6 Ca 3.22, 6 Al 3.54

Material: SmThCoAg
Method: DFT, GGA-PBE
State: optimized geometry

Values from the calculation:
Calculated formation energy: -0.041 eV per atom
VASP energy: -5.565 eV/atom
N(E_F): 3.5 states/eV per cell

abc: 5.0821 5.0821 5.0821
angles: 60.00 60.00 60.00
Closest atoms and distances in Å follow each position.
Fractional coordinates of all 4 atoms:
Sm1 0.0000 0.0000 0.0000  4 Co 3.11, 4 Ag 3.11
Th1 0.5000 0.5000 0.5000  4 Ag 3.11, 4 Co 3.11
Co1 0.2500 0.2500 0.2500  4 Th 3.11, 4 Sm 3.11
Ag1 0.7500 0.7500 0.7500  4 Th 3.11, 4 Sm 3.11

Material: CaSc2Cl2
Method: DFT, GGA-PBE
State: optimized geometry

Values from the calculation:
Energy above the most stable polymorph in this dataset: 0.134 eV/atom
VASP energy: -4.244 eV/atom
N(E_F): 13.0 states/eV per cell
Energy relative to the elements, uncorrected: -0.57 eV/atom

abc: 7.8873 7.8873 3.3797
angles: 90.00 90.00 90.00
Closest atoms and distances in Å follow each position.
Fractional coordinates of all 10 atoms:
Ca1 0.0000 0.0000 0.0000  4 Cl 3.06, 2 Ca 3.38, 8 Sc 3.41
Ca2 0.5000 0.5000 0.0000  4 Cl 3.06, 2 Ca 3.38, 8 Sc 3.41
Sc1 0.1605 0.3395 0.5000  6 Cl 2.83-2.89
Sc2 0.3395 0.8395 0.5000  6 Cl 2.83-2.89
Sc3 0.6605 0.1605 0.5000  6 Cl 2.83-2.89
Sc4 0.8395 0.6605 0.5000  6 Cl 2.83-2.89
Cl1 0.1365 0.6365 0.0000  6 Sc 2.83-2.89, 1 Cl 3.05, 2 Ca 3.06
Cl2 0.3635 0.1365 0.0000  6 Sc 2.83-2.89, 1 Cl 3.05, 2 Ca 3.06
Cl3 0.6365 0.8635 0.0000  6 Sc 2.83-2.89, 1 Cl 3.05, 2 Ca 3.06
Cl4 0.8635 0.3635 0.0000  6 Sc 2.83-2.89, 1 Cl 3.05, 2 Ca 3.06

Material: LaVMo2
Method: DFT, GGA-PBE
State: optimized geometry

Values from the calculation:
Calculated formation energy: 0.385 eV per atom
Energy above the most stable polymorph in this dataset: 0.054 eV/atom
VASP energy: -8.542 eV/atom
N(E_F): 10.2 states/eV per cell

abc: 5.9519 5.9519 8.2119
angles: 120.01 120.01 40.81
Closest atoms and distances in Å follow each position.
Fractional coordinates of all 8 atoms:
La1 0.0000 0.0000 0.0000  5 Mo 3.06-3.27, 2 V 3.19-3.33, 2 La 3.43
La2 0.6088 0.6088 0.3869  6 Mo 3.03-3.29, 1 V 3.30
V1 0.8001 0.8001 0.1891  5 Mo 2.58-2.84, 1 V 2.84
V2 0.9782 0.9782 0.5969  4 Mo 2.57, 1 V 2.84
Mo1 0.2634 0.2634 0.9732  3 Mo 2.57-2.64, 2 V 2.62
Mo2 0.3113 0.3113 0.6911  2 Mo 2.59-2.64
Mo3 0.3423 0.3423 0.3999  4 V 2.57-2.58, 1 Mo 2.59
Mo4 0.6219 0.6219 0.7816  3 V 2.57-2.84, 2 Mo 2.57

Material: CuReW2
Method: DFT, GGA-PBE
State: optimized geometry

Values from the calculation:
Calculated formation energy: 0.242 eV per atom
Energy above the most stable polymorph in this dataset: 0.018 eV/atom
VASP energy: -10.371 eV/atom
N(E_F): 1.8 states/eV per cell

abc: 5.1279 5.1279 2.6730
angles: 98.90 98.90 116.31
Closest atoms and distances in Å follow each position.
Fractional coordinates of all 4 atoms:
Cu1 0.0000 0.0000 0.0000  2 Cu 2.67, 4 W 2.70, 2 Re 2.71
Re1 0.5000 0.5000 0.0000  2 Re 2.67, 4 W 2.70, 2 Cu 2.71
W1 0.0000 0.5000 0.5000  4 W 2.67-2.71, 2 Re 2.70, 2 Cu 2.70
W2 0.5000 0.0000 0.5000  4 W 2.67-2.71, 2 Re 2.70, 2 Cu 2.70

Material: PrTm4Lu
Method: DFT, GGA-PBE
State: optimized geometry

Values from the calculation:
Calculated formation energy: 0.272 eV per atom
VASP energy: -4.259 eV/atom
N(E_F): 10.1 states/eV per cell

abc: 6.5241 6.5241 6.5241
angles: 60.00 60.00 60.00
Closest atoms and distances in Å follow each position.
Fractional coordinates of all 6 atoms:
Pr1 0.0000 0.0000 0.0000  12 Tm 3.83, 4 Lu 4.00
Tm1 0.1263 0.6246 0.6246  6 Tm 3.25-3.27
Tm2 0.6246 0.1263 0.6246  6 Tm 3.25-3.27
Tm3 0.6246 0.6246 0.1263  6 Tm 3.25-3.27
Tm4 0.6246 0.6246 0.6246  6 Tm 3.25-3.27
Lu1 0.2500 0.2500 0.2500  12 Tm 3.82, 4 Pr 4.00

Material: Fe2TcP
Method: DFT, GGA-PBE
State: optimized geometry

Values from the calculation:
Calculated formation energy: -0.100 eV per atom
VASP energy: -8.275 eV/atom
N(E_F): 4.2 states/eV per cell

abc: 2.6748 3.7418 4.8534
angles: 90.00 105.97 90.00
Closest atoms and distances in Å follow each position.
Fractional coordinates of all 4 atoms:
Fe1 0.1341 0.0000 0.2654  2 P 2.27, 1 Fe 2.48
Fe2 0.8659 0.0000 0.7346  2 P 2.27, 1 Fe 2.48
Tc1 0.5000 0.5000 0.0000  2 P 2.43, 8 Fe 2.61, 2 Tc 2.67
P1 0.5000 0.5000 0.5000  4 Fe 2.27, 2 Tc 2.43

Material: Tb6CeSm3Ho2
Method: DFT, GGA-PBE
State: optimized geometry

Values from the calculation:
Calculated formation energy: 0.034 eV per atom
VASP energy: -4.718 eV/atom
N(E_F): 19.1 states/eV per cell

abc: 6.1847 6.1847 11.8360
angles: 95.00 95.00 119.98
Closest atoms and distances in Å follow each position.
Fractional coordinates of all 12 atoms:
Tb1 0.0827 0.4139 0.2475  1 Ce 3.54, 6 Tb 3.55-3.58, 2 Ho 3.55, 3 Sm 3.59-3.60
Tb2 0.2488 0.2488 0.7524  1 Ce 3.54, 2 Ho 3.55, 6 Tb 3.55-3.58, 3 Sm 3.59-3.60
Tb3 0.4139 0.0827 0.2475  1 Ce 3.54, 6 Tb 3.55-3.58, 2 Ho 3.55, 3 Sm 3.59-3.60
Tb4 0.5861 0.9173 0.7525  1 Ce 3.54, 6 Tb 3.55-3.58, 2 Ho 3.55, 3 Sm 3.59-3.60
Tb5 0.7512 0.7512 0.2476  1 Ce 3.54, 2 Ho 3.55, 6 Tb 3.55-3.58, 3 Sm 3.59-3.60
Tb6 0.9173 0.5861 0.7525  1 Ce 3.54, 6 Tb 3.55-3.58, 2 Ho 3.55, 3 Sm 3.59-3.60
Ce1 0.0000 0.0000 0.0000  6 Tb 3.54, 6 Ho 3.57
Sm1 0.1674 0.8326 0.5000  6 Sm 3.56-3.59, 6 Tb 3.59-3.60
Sm2 0.5000 0.5000 0.5000  6 Sm 3.56-3.58, 6 Tb 3.59-3.60
Sm3 0.8326 0.1674 0.5000  6 Sm 3.56-3.59, 6 Tb 3.59-3.60
Ho1 0.3334 0.6666 0.0000  6 Tb 3.55, 3 Ho 3.57, 3 Ce 3.57
Ho2 0.6666 0.3334 0.0000  6 Tb 3.55, 3 Ho 3.57, 3 Ce 3.57

Material: Tl2AsPt
Method: DFT, GGA-PBE
State: optimized geometry

Values from the calculation:
Calculated formation energy: -0.049 eV per atom
Energy above the most stable polymorph in this dataset: 0.134 eV/atom
VASP energy: -3.905 eV/atom
N(E_F): 0.9 states/eV per cell

abc: 8.3500 8.3500 8.3500
angles: 155.14 154.69 35.78
Closest atoms and distances in Å follow each position.
Fractional coordinates of all 4 atoms:
Tl1 0.1664 0.1664 0.0000  2 Pt 3.20, 2 As 3.22
Tl2 0.8336 0.8336 0.0000  2 Pt 3.20, 2 As 3.22
As1 0.5000 0.0000 0.5000  4 Pt 2.56
Pt1 0.0000 0.5000 0.5000  4 As 2.56

Material: Dy2Al3CdAu4
Method: DFT, GGA-PBE
State: optimized geometry

Values from the calculation:
Calculated formation energy: -0.603 eV per atom
VASP energy: -4.049 eV/atom
N(E_F): 6.4 states/eV per cell

abc: 4.3454 4.3454 10.9306
angles: 90.00 90.00 90.00
Closest atoms and distances in Å follow each position.
Fractional coordinates of all 10 atoms:
Dy1 0.0000 0.5000 0.2432  8 Au 3.28-3.43, 6 Al 3.33-3.55, 2 Cd 3.55
Dy2 0.5000 0.0000 0.7568  8 Au 3.28-3.43, 6 Al 3.33-3.55, 2 Cd 3.55
Al1 0.0000 0.5000 0.8744  5 Au 2.44-2.57
Al2 0.5000 0.0000 0.1256  5 Au 2.44-2.57
Al3 0.5000 0.5000 0.5000  4 Au 2.73
Cd1 0.0000 0.0000 0.5000  4 Au 2.73
Au1 0.0000 0.0000 0.0000  4 Al 2.57
Au2 0.0000 0.5000 0.6511  3 Al 2.44-2.73, 2 Cd 2.73
Au3 0.5000 0.0000 0.3489  3 Al 2.44-2.73, 2 Cd 2.73
Au4 0.5000 0.5000 0.0000  4 Al 2.57

Material: KNa2Ag2
Method: DFT, GGA-PBE
State: optimized geometry

Values from the calculation:
Calculated formation energy: 0.015 eV per atom
Energy above the most stable polymorph in this dataset: 0.000 eV/atom
VASP energy: -1.872 eV/atom
N(E_F): 1.6 states/eV per cell

abc: 6.5720 6.5720 5.8958
angles: 105.34 105.34 43.12
Closest atoms and distances in Å follow each position.
Fractional coordinates of all 5 atoms:
K1 0.0000 0.0000 0.0000  6 Ag 3.50-3.65
Na1 0.3413 0.3413 0.4314  4 Ag 3.05-3.12
Na2 0.6587 0.6587 0.5686  4 Ag 3.05-3.12
Ag1 0.2668 0.2668 0.8911  2 Ag 2.82, 4 Na 3.05-3.12
Ag2 0.7332 0.7332 0.1089  2 Ag 2.82, 4 Na 3.05-3.12

Material: K2Mg2Pb
Method: DFT, GGA-PBE
State: optimized geometry

Values from the calculation:
Calculated formation energy: 0.308 eV per atom
Energy above the most stable polymorph in this dataset: 0.138 eV/atom
VASP energy: -1.511 eV/atom
N(E_F): 11.7 states/eV per cell

abc: 10.5154 10.5154 3.4302
angles: 90.00 90.00 90.00
Closest atoms and distances in Å follow each position.
Fractional coordinates of all 10 atoms:
K1 0.1880 0.3120 0.0000  2 K 3.43, 6 Mg 3.53-3.63, 2 Pb 3.83
K2 0.3120 0.8120 0.0000  2 K 3.43, 6 Mg 3.53-3.63, 2 Pb 3.83
K3 0.6880 0.1880 0.0000  2 K 3.43, 6 Mg 3.53-3.63, 2 Pb 3.83
K4 0.8120 0.6880 0.0000  2 K 3.43, 6 Mg 3.53-3.63, 2 Pb 3.83
Mg1 0.1048 0.6048 0.5000  3 Mg 3.12-3.43
Mg2 0.3952 0.1048 0.5000  3 Mg 3.12-3.43
Mg3 0.6048 0.8952 0.5000  3 Mg 3.12-3.43
Mg4 0.8952 0.3952 0.5000  3 Mg 3.12-3.43
Pb1 0.0000 0.0000 0.0000  2 Pb 3.43, 4 K 3.83
Pb2 0.5000 0.5000 0.0000  2 Pb 3.43, 4 K 3.83

- VASP energy of number 8 (Tb6CeSm3Ho2)?
  -4.718 eV/atom

- What is the formula in the fifth record?
  CuReW2